Entry from Alexandria: PtOF3 after structural relaxation (GGA-PBEsol).

Summary:
M_tot   1.53 μB per cell
Formation energy without anion corrections   70 kJ per mole of atoms
SG   Pm-3m, No. 221
Calculated density   8.091 g cm⁻³

Unit cell a=3.803 b=3.803 c=3.803 alpha=90.00 beta=90.00 gamma=90.00
Each line ends with the local moment (μB).
Element x y z (fractional)
O 0.000 0.000 0.000  0.01
Pt 0.500 0.500 0.500  1.27
F 0.000 0.500 0.000  0.07
F 0.000 0.000 0.500  0.07
F 0.500 0.000 0.000  0.07